Entry 1:
{
  "formula": "NdGa4Cu6",
  "functional": "PBE",
  "state": "relaxed",
  "lattice_angstrom": [[-2.2635, -2.9123, -1.7584], [5.7689, -3.4016, -1.7922], [-3.0459, -1.3089, 6.0887]],
  "species": ["Nd", "Ga", "Ga", "Ga", "Ga", "Cu", "Cu", "Cu", "Cu", "Cu", "Cu"],
  "frac_coords": [[0.0000, 0.0000, 0.0000], [0.5000, 0.8029, 0.6058], [0.5000, 0.3942, 0.1971], [0.5000, 0.8029, 0.1971], [0.0000, 0.3333, 0.6667], [0.0000, 0.5402, 0.0805], [0.5000, 0.5796, 0.7898], [0.0000, 0.5402, 0.4598], [0.0000, 0.9195, 0.4598], [0.5000, 0.2102, 0.7898], [0.5000, 0.2102, 0.4204]],
  "formation_energy_ev_per_atom": -0.2503,
  "final_energy_ev_per_atom": -4.019,
  "dos_at_fermi_per_ev_cell": 3.4,
  "spacegroup": "No. 187"
}

Entry 2:
{
  "formula": "Nd3GaCu",
  "functional": "PBE",
  "state": "relaxed",
  "lattice_angstrom": [[-3.3134, 0.5856, -0.8842], [0.9141, -3.0421, 8.2315], [0.7013, 8.7117, 3.1416]],
  "species": ["Nd", "Nd", "Nd", "Nd", "Nd", "Nd", "Ga", "Ga", "Cu", "Cu"],
  "frac_coords": [[0.6889, 0.6911, 0.5651], [0.3111, 0.3089, 0.4349], [0.3111, 0.3089, 0.0651], [0.6889, 0.6911, 0.9349], [0.8964, 0.8963, 0.2500], [0.1036, 0.1037, 0.7500], [0.0668, 0.5658, 0.2500], [0.9332, 0.4342, 0.7500], [0.5000, 0.0000, 0.0000], [0.5000, 0.0000, 0.5000]],
  "formation_energy_ev_per_atom": -0.2107,
  "final_energy_ev_per_atom": -4.496,
  "dos_at_fermi_per_ev_cell": 11.9,
  "spacegroup": "No. 11"
}

Entry 3:
{
  "formula": "Nd3Ga2Cu9",
  "functional": "PBE",
  "state": "relaxed",
  "lattice_angstrom": [[-0.8188, -1.5513, 3.9061], [-2.0020, -7.6789, -1.1223], [6.0086, -5.0573, 1.5980]],
  "species": ["Nd", "Nd", "Nd", "Ga", "Ga", "Cu", "Cu", "Cu", "Cu", "Cu", "Cu", "Cu", "Cu", "Cu"],
  "frac_coords": [[0.0000, 0.0000, 0.0000], [0.7044, 0.2957, 0.2957], [0.2957, 0.7044, 0.7044], [0.5000, 0.3044, 0.6956], [0.5000, 0.6956, 0.3044], [0.0000, 0.5000, 0.5000], [0.6648, 0.9796, 0.6907], [0.3352, 0.0204, 0.3093], [0.6648, 0.6907, 0.9796], [0.3352, 0.3093, 0.0204], [0.8710, 0.8442, 0.4138], [0.1290, 0.1558, 0.5862], [0.8710, 0.4138, 0.8442], [0.1290, 0.5862, 0.1558]],
  "formation_energy_ev_per_atom": -0.2332,
  "final_energy_ev_per_atom": -4.321,
  "dos_at_fermi_per_ev_cell": 7.4,
  "spacegroup": "No. 71"
}